This record from Alexandria describes crystalline Pm2DyH8 at its relaxed geometry. The functional is PBE-GGA.

a = 3.757 Å, b = 5.238 Å, c = 6.483 Å
α = 113.83°, β = 106.84°, γ = 90.00°
Positions (direct):
1 Pm 0.168 0.668 0.337
2 H 0.344 0.588 0.687
3 H 0.000 0.257 0.000
4 Dy 0.500 0.000 0.000
5 H 0.656 0.901 0.313
6 Pm 0.832 0.332 0.663
7 H 0.000 0.743 0.000
8 H 0.163 0.163 0.325
9 H 0.656 0.412 0.313
10 H 0.837 0.837 0.675
11 H 0.344 0.099 0.687

Values from the calculation:
* calculated total energy: -47.557 eV per formula unit
* D(E_F): 1.528 states/eV per cell
* total magnetic moment: 0.00 μB per formula unit
* space group: No. 71